Entry from Alexandria: crystalline La3TbHo8 at its relaxed geometry (PBE).

Cell lengths 8.412, 8.412, 8.412 Å; angles 116.81, 116.81, 95.61 degrees
Element x y z (fractional)
La 0.000 0.000 0.000
La 0.250 0.750 0.500
La 0.750 0.250 0.500
Tb 0.500 0.500 0.000
Ho 0.131 0.131 0.752
Ho 0.244 0.733 0.000
Ho 0.267 0.267 0.511
Ho 0.379 0.379 0.248
Ho 0.621 0.869 0.000
Ho 0.733 0.244 0.000
Ho 0.756 0.756 0.489
Ho 0.869 0.621 0.000

Properties
Its energy of formation from the pure elements is 607 meV/atom. The density of states at the Fermi level comes out at 18.45 states/eV per cell. The volume is 36.58 Å³ per atom. Its total DFT energy (no corrections) is -4.06 eV per atom. Its density is 7.17 g/cm³.